[1]
Here is an optimized crystal structure of Al2HgW from Alexandria. Energies are from PBE.

Cell lengths 2.8411, 4.2891, 5.6625 Å; angles 90.00, 90.09, 90.00 degrees
Last column: nearest neighbours and their distance in Å.
Fractional coordinates of all 4 atoms:
Al: 0.9997 0.0000 0.2203  1 Al 2.50, 2 Hg 2.67
Al: 0.0003 0.0000 0.7797  1 Al 2.50, 2 Hg 2.67
Hg: 0.0000 0.5000 0.5000  4 Al 2.67, 2 Hg 2.84
W: 0.5000 0.5000 0.0000  2 W 2.84, 8 Al 2.86, 4 Hg 3.17

Results
calculated total energy: -4.922 eV/atom

---

[2]
Here is an optimized crystal structure of Al2HgW from Alexandria. Energies are from PBE.

Cell lengths 4.9172, 4.9172, 5.2057 Å; angles 97.87, 97.87, 33.73 degrees
Last column: nearest neighbours and their distance in Å.
Fractional coordinates of all 4 atoms:
Al: 0.2379 0.2379 0.2206  4 Al 2.74-2.85, 3 W 2.76-2.87, 3 Hg 2.84-3.03
Al: 0.7621 0.7621 0.7794  4 Al 2.74-2.85, 3 W 2.76-2.87, 3 Hg 2.84-3.03
Hg: 0.0000 0.0000 0.5000  6 Al 2.84-3.03, 2 Hg 2.85, 4 W 2.97
W: 0.5000 0.5000 0.0000  6 Al 2.76-2.87, 2 W 2.85, 4 Hg 2.97

Results
calculated total energy: -4.908 eV/atom

---

[3]
Here is an optimized crystal structure of Al2HgW from Alexandria. Energies are from PBE.

Cell lengths 2.8941, 4.9220, 4.9237 Å; angles 106.39, 90.13, 90.40 degrees
Last column: nearest neighbours and their distance in Å.
Fractional coordinates of all 4 atoms:
Al: 0.0000 0.0000 0.0000  4 W 2.85-2.86, 4 Hg 2.85-2.86, 4 Al 2.89-2.95
Al: 0.0000 0.5000 0.5000  4 Hg 2.85-2.86, 4 W 2.85-2.86, 4 Al 2.89-2.95
Hg: 0.5000 0.0000 0.5000  8 Al 2.85-2.86, 2 Hg 2.89, 2 W 2.95
W: 0.5000 0.5000 0.0000  8 Al 2.85-2.86, 2 W 2.89, 2 Hg 2.95

Results
calculated total energy: -4.953 eV/atom

---

[4]
Here is an optimized crystal structure of Al2HgW from Alexandria. Energies are from PBE.

Cell lengths 5.0873, 5.0873, 5.0873 Å; angles 133.84, 133.84, 67.34 degrees
Last column: nearest neighbours and their distance in Å.
Fractional coordinates of all 4 atoms:
Al: 0.2500 0.7500 0.5000  4 Al 2.82, 4 Hg 2.91, 4 W 2.91
Al: 0.7500 0.2500 0.5000  4 Al 2.82, 4 Hg 2.91, 4 W 2.91
Hg: 0.0000 0.0000 0.0000  4 W 2.82, 8 Al 2.91
W: 0.5000 0.5000 0.0000  4 Hg 2.82, 8 Al 2.91

Results
calculated total energy: -4.946 eV/atom

---

[5]
Here is an optimized crystal structure of AlHg4W from Alexandria. Energies are from PBE.

Cell lengths 5.7471, 5.7471, 5.7471 Å; angles 60.00, 60.00, 60.00 degrees
Last column: nearest neighbours and their distance in Å.
Fractional coordinates of all 6 atoms:
Al: 0.0000 0.0000 0.0000  12 Hg 3.37, 4 W 3.52
Hg: 0.1255 0.6248 0.6248  6 Hg 2.87-2.88
Hg: 0.6248 0.1255 0.6248  6 Hg 2.87-2.88
Hg: 0.6248 0.6248 0.1255  6 Hg 2.87-2.88
Hg: 0.6248 0.6248 0.6248  6 Hg 2.87-2.88
W: 0.2500 0.2500 0.2500  12 Hg 3.37, 4 Al 3.52

Results
calculated total energy: -1.951 eV/atom

---

[6]
Here is an optimized crystal structure of Al4HgW from Alexandria. Energies are from PBE.

Cell lengths 5.1844, 5.1844, 5.1844 Å; angles 60.00, 60.00, 60.00 degrees
Last column: nearest neighbours and their distance in Å.
Fractional coordinates of all 6 atoms:
Al: 0.1249 0.1249 0.1249  6 Al 2.59
Al: 0.1249 0.1249 0.6254  6 Al 2.59
Al: 0.1249 0.6254 0.1249  6 Al 2.59
Al: 0.6254 0.1249 0.1249  6 Al 2.59
Hg: 0.7500 0.7500 0.7500  12 Al 3.04, 4 W 3.17
W: 0.5000 0.5000 0.5000  12 Al 3.04, 4 Hg 3.17

Results
calculated total energy: -4.434 eV/atom

---

[7]
Here is an optimized crystal structure of AlHg3W from Alexandria. Energies are from PBE.

Cell lengths 5.3329, 5.3329, 5.3329 Å; angles 90.00, 90.00, 90.00 degrees
Last column: nearest neighbours and their distance in Å.
Fractional coordinates of all 5 atoms:
Al: 0.0000 0.0000 0.0000  12 Hg 3.77
Hg: 0.0000 0.5000 0.5000  2 W 2.67
Hg: 0.5000 0.0000 0.5000  2 W 2.67
Hg: 0.5000 0.5000 0.0000  2 W 2.67
W: 0.5000 0.5000 0.5000  6 Hg 2.67

Results
E above lowest polymorph: 0 meV per atom

---

[8]
Here is an optimized crystal structure of Al2HgW from Alexandria. Energies are from PBE.

Cell lengths 4.2708, 4.2708, 3.6016 Å; angles 90.00, 90.00, 90.00 degrees
Last column: nearest neighbours and their distance in Å.
Fractional coordinates of all 4 atoms:
Al: 0.0000 0.5000 0.0000  4 W 2.79, 4 Hg 2.79, 4 Al 3.02
Al: 0.5000 0.0000 0.0000  4 W 2.79, 4 Hg 2.79, 4 Al 3.02
Hg: 0.0000 0.0000 0.5000  8 Al 2.79, 4 W 3.02
W: 0.5000 0.5000 0.5000  8 Al 2.79, 4 Hg 3.02

Results
calculated total energy: -4.891 eV/atom

---

[9]
Here is an optimized crystal structure of Al2HgW from Alexandria. Energies are from PBE.

Cell lengths 2.8577, 2.8577, 8.7284 Å; angles 90.00, 90.00, 90.00 degrees
Last column: nearest neighbours and their distance in Å.
Fractional coordinates of all 4 atoms:
Al: 0.0000 0.0000 0.2185  4 W 2.78, 4 Al 2.86
Al: 0.0000 0.0000 0.7815  4 W 2.78, 4 Al 2.86
Hg: 0.5000 0.5000 0.5000  4 Hg 2.86, 8 Al 3.18
W: 0.5000 0.5000 0.0000  8 Al 2.78, 4 W 2.86

Results
calculated total energy: -4.967 eV/atom

---

[10]
Here is an optimized crystal structure of Al2HgW from Alexandria. Energies are from PBE.

Cell lengths 5.8402, 5.8402, 5.8402 Å; angles 103.89, 103.89, 121.33 degrees
Last column: nearest neighbours and their distance in Å.
Fractional coordinates of all 8 atoms:
Al: 0.1239 0.6250 0.9989  2 W 2.64, 2 Hg 2.65, 2 Al 2.86
Al: 0.3750 0.3739 0.4989  2 W 2.64, 2 Hg 2.65, 2 Al 2.86
Al: 0.6261 0.1250 0.0011  2 W 2.64, 2 Hg 2.65, 2 Al 2.86
Al: 0.8750 0.8761 0.5011  2 W 2.64, 2 Hg 2.65, 2 Al 2.86
Hg: 0.2500 0.7500 0.5000  4 Al 2.65, 2 W 2.86
Hg: 0.5000 0.5000 0.0000  4 Al 2.65, 2 W 2.86
W: 0.0000 0.0000 0.0000  4 Al 2.64, 2 Hg 2.86
W: 0.7500 0.2500 0.5000  4 Al 2.64, 2 Hg 2.86

Results
calculated total energy: -4.470 eV/atom

---

[11]
Here is an optimized crystal structure of Al2HgW from Alexandria. Energies are from PBE.

Cell lengths 2.8535, 4.8972, 4.8687 Å; angles 90.00, 90.00, 90.00 degrees
Last column: nearest neighbours and their distance in Å.
Fractional coordinates of all 4 atoms:
Al: 0.0000 0.0000 0.0000  4 W 2.73-2.92, 2 Hg 2.84, 6 Al 2.85-3.01
Al: 0.5000 0.5000 0.2064  2 W 2.78, 4 Hg 2.81-2.83, 6 Al 2.85-3.01
Hg: 0.0000 0.5000 0.7047  6 Al 2.81-2.84, 2 Hg 2.85, 4 W 3.04
W: 0.5000 0.0000 0.4773  6 Al 2.73-2.92, 2 W 2.85, 4 Hg 3.04

Results
calculated total energy: -4.961 eV/atom

---

[12]
Here is an optimized crystal structure of Al2Hg2W from Alexandria. Energies are from PBE.

Cell lengths 7.8395, 7.8395, 7.8395 Å; angles 152.39, 152.39, 39.44 degrees
Last column: nearest neighbours and their distance in Å.
Fractional coordinates of all 5 atoms:
Al: 0.0840 0.0840 0.0000  1 Al 2.48
Al: 0.9160 0.9160 0.0000  1 Al 2.48
Hg: 0.2500 0.7500 0.5000  4 Hg 2.65
Hg: 0.7500 0.2500 0.5000  4 Hg 2.65
W: 0.5000 0.5000 0.0000  8 Al 2.92

Results
calculated total energy: -3.393 eV/atom

---

no.,total magnetization (μB per formula unit)
1,0.00
2,0.00
3,0.00
4,0.00
5,3.17
6,0.00
7,1.21
8,0.00
9,0.00
10,0.00
11,0.00
12,0.78